1.
Below is crystalline Th2AgMo at its relaxed geometry, with properties calculated at the PBE-GGA level.

Unit cell a=3.605 b=3.605 c=7.778 alpha=90.00 beta=90.00 gamma=90.00
Fractional positions:
Th: 0.000 0.000 0.225
Th: 0.000 0.000 0.775
Ag: 0.500 0.500 0.500
Mo: 0.500 0.500 0.000

Computed properties:
**Electronic total energy**: -28.24 eV per formula unit
**DOS(E_F)**: 3.6 states/eV/f.u.
**Formation energy from the elements**: 0.069 eV/atom
**Symmetry**: No. 123

=====

2.
Below is crystalline LiBiCl4 at its relaxed geometry, with properties calculated at the PBE-GGA level.

Unit cell a=7.483 b=7.483 c=7.483 alpha=109.02 beta=109.02 gamma=110.38
Fractional positions:
Li: 0.375 0.625 0.750
Li: 0.625 0.375 0.250
Bi: 0.125 0.875 0.250
Bi: 0.875 0.125 0.750
Cl: 0.175 0.241 0.565
Cl: 0.175 0.610 0.935
Cl: 0.241 0.175 0.065
Cl: 0.390 0.825 0.565
Cl: 0.610 0.175 0.435
Cl: 0.759 0.825 0.935
Cl: 0.825 0.390 0.065
Cl: 0.825 0.759 0.435

Computed properties:
**Formation energy (no corrections)**: -1.200 eV per atom
**Electronic total energy**: -20.38 eV per formula unit
**DOS(E_F)**: 0.0 states/eV/f.u.
**Symmetry**: No. 141